The following is a DFT calculation (GGA-PBE) of an optimized crystal structure of HfZrGe2.

Energy (eV per atom): -7.660

Cell: 3.9318 5.3985 7.0534 Å, 90.00 90.00 90.00°
With the nearest neighbours (Å) after each atom.
Space group Pmc2_1 (No. 26)
Symmetry-distinct sites (fractional):
Hf (0.0000, 0.1172, 0.0000) [2 per cell]  7 Ge 2.74-3.05
Zr (0.5000, 0.3820, 0.6472) [2 per cell]  7 Ge 2.73-3.05
Ge (0.0000, 0.4042, 0.3723) [2 per cell]  2 Ge 2.67, 2 Hf 2.74-2.96, 4 Zr 2.76-2.78
Ge (0.5000, 0.0954, 0.2749) [2 per cell]  2 Ge 2.67, 2 Zr 2.73-2.96, 4 Hf 2.76-2.78